(1)
The following is a PBE calculation of Y2SbSe2 after structural relaxation, from Alexandria.

Unit cell a=8.2452 b=8.2452 c=3.6891 alpha=90.00 beta=90.00 gamma=90.00
Sites, in units of the cell vectors:
Y  0.1593  0.3407  0.0000
Y  0.3407  0.8407  0.0000
Y  0.6593  0.1593  0.0000
Y  0.8407  0.6593  0.0000
Sb  0.0000  0.0000  0.0000
Sb  0.5000  0.5000  0.0000
Se  0.1356  0.6356  0.5000
Se  0.3644  0.1356  0.5000
Se  0.6356  0.8644  0.5000
Se  0.8644  0.3644  0.5000

space group: P4/mbm, No. 127
uncorrected formation energy: -131 kJ per mole of atoms
volume: 25.08 Å³/atom
polymorph energy (0 for the lowest one): 0 meV/atom
M_tot: 0.00 μB per atom



(2)
The following is a PBE calculation of NiMo2Cl after structural relaxation, from Alexandria.

Unit cell a=3.1966 b=3.0851 c=6.8756 alpha=90.00 beta=93.16 gamma=90.00
Sites, in units of the cell vectors:
Ni  0.0000  0.0000  0.0000
Mo  0.0186  0.0000  0.5902
Mo  0.4623  0.5000  0.7979
Cl  0.0201  0.5000  0.2835

space group: Pm, No. 6
uncorrected formation energy: 20 kJ per mole of atoms
volume: 16.93 Å³/atom
polymorph energy (0 for the lowest one): 0 meV/atom
M_tot: 0.00 μB per atom



(3)
The following is a PBE calculation of InSn2Bi after structural relaxation, from Alexandria.

Unit cell a=5.2136 b=5.2136 c=4.2499 alpha=90.00 beta=90.00 gamma=90.00
Sites, in units of the cell vectors:
In  0.0000  0.0000  0.0000
Sn  0.0000  0.5000  0.5000
Sn  0.5000  0.0000  0.5000
Bi  0.5000  0.5000  0.0000

space group: P4/mmm, No. 123
volume: 28.88 Å³/atom
polymorph energy (0 for the lowest one): 11 meV/atom
M_tot: 0.00 μB per atom
calculated formation energy: 0.21 eV/f.u.



(4)
The following is a PBE calculation of Tb8Sm3Y2 after structural relaxation, from Alexandria.

Unit cell a=10.8212 b=10.8212 c=5.6634 alpha=90.04 beta=90.04 gamma=41.64
Sites, in units of the cell vectors:
Tb  0.1018  0.6826  0.9997
Tb  0.1689  0.1689  0.5011
Tb  0.3174  0.8982  0.0003
Tb  0.3663  0.3663  0.5003
Tb  0.6337  0.6337  0.4997
Tb  0.6826  0.1018  0.9997
Tb  0.8311  0.8311  0.4989
Tb  0.8982  0.3174  0.0003
Sm  0.2106  0.7894  0.5000
Sm  0.5000  0.5000  0.0000
Sm  0.7894  0.2106  0.5000
Y  0.2585  0.2585  0.0013
Y  0.7415  0.7415  0.9987

space group: C2/m, No. 12
volume: 33.90 Å³/atom
polymorph energy (0 for the lowest one): 220 meV/atom
M_tot: 0.00 μB per atom
calculated formation energy: 3.08 eV/f.u.



(5)
The following is a PBE calculation of Nd3Sm2Sb2 after structural relaxation, from Alexandria.

Unit cell a=17.0394 b=4.0438 c=7.4205 alpha=90.00 beta=114.80 gamma=90.00
Sites, in units of the cell vectors:
Nd  0.0000  0.0000  0.0000
Nd  0.2170  0.0000  0.2511
Nd  0.2830  0.5000  0.7489
Nd  0.5000  0.5000  0.0000
Nd  0.7170  0.5000  0.2511
Nd  0.7830  0.0000  0.7489
Sm  0.0994  0.0000  0.6961
Sm  0.4006  0.5000  0.3039
Sm  0.5994  0.5000  0.6961
Sm  0.9006  0.0000  0.3039
Sb  0.0916  0.5000  0.3660
Sb  0.4084  0.0000  0.6340
Sb  0.5916  0.0000  0.3660
Sb  0.9084  0.5000  0.6340

space group: C2/m, No. 12
uncorrected formation energy: -44 kJ per mole of atoms
volume: 33.15 Å³/atom
M_tot: 0.08 μB per atom



(6)
The following is a PBE calculation of Na3ZnTc after structural relaxation, from Alexandria.

Unit cell a=5.3900 b=5.3900 c=5.3900 alpha=90.00 beta=90.00 gamma=90.00
Sites, in units of the cell vectors:
Na  0.0000  0.0000  0.5000
Na  0.0000  0.5000  0.0000
Na  0.5000  0.0000  0.0000
Zn  0.0000  0.0000  0.0000
Tc  0.5000  0.5000  0.5000

space group: Pm-3m, No. 221
volume: 31.32 Å³/atom
polymorph energy (0 for the lowest one): 0 meV/atom
M_tot: 0.73 μB per atom
calculated formation energy: 5.82 eV/f.u.



(7)
The following is a PBE calculation of YTl3Cu after structural relaxation, from Alexandria.

Unit cell a=5.9461 b=5.9461 c=5.9461 alpha=90.00 beta=90.00 gamma=90.00
Sites, in units of the cell vectors:
Y  0.0000  0.0000  0.0000
Tl  0.0000  0.0000  0.5000
Tl  0.0000  0.5000  0.0000
Tl  0.5000  0.0000  0.0000
Cu  0.5000  0.5000  0.5000

space group: Pm-3m, No. 221
volume: 42.05 Å³/atom
polymorph energy (0 for the lowest one): 732 meV/atom
M_tot: 0.00 μB per atom
calculated formation energy: 4.49 eV/f.u.



(8)
The following is a PBE calculation of DyScPd after structural relaxation, from Alexandria.

Unit cell a=4.6304 b=4.6304 c=3.7023 alpha=90.00 beta=90.00 gamma=120.00
Sites, in units of the cell vectors:
Dy  0.0000  0.0000  0.0000
Sc  0.3333  0.6667  0.5253
Pd  0.6667  0.3333  0.3764

space group: P3m1, No. 156
volume: 22.92 Å³/atom
polymorph energy (0 for the lowest one): 208 meV/atom
M_tot: 0.00 μB per atom
calculated formation energy: -1.25 eV/f.u.